1.
PBE TaCr2Hg, optimized geometry; DFT formation energy = 0.5867 eV/atom; SG = Immm
1.0
-1.6672 2.2383 4.2046
1.6672 -2.2383 4.2046
1.6672 2.2383 -4.2046
Ta Cr Hg
1 2 1
Direct
0.0000 0.0000 0.0000
0.2370 0.7370 0.5000
0.7630 0.2630 0.5000
0.5000 0.5000 0.0000


2.
PBE ZrZnTe3, optimized geometry; energy above the lowest structure with this stoichiometry = 0.000 eV/atom; ΔE_f (raw) = -0.04 eV per atom; SG = Pm-3m
1.0
5.6237 0.0000 0.0000
0.0000 5.6237 0.0000
0.0000 0.0000 5.6237
Zr Zn Te
1 1 3
Direct
0.0000 0.0000 0.0000
0.5000 0.5000 0.5000
0.0000 0.0000 0.5000
0.0000 0.5000 0.0000
0.5000 0.0000 0.0000


3.
PBE Pm4Y7Er, optimized geometry; energy above the lowest structure with this stoichiometry = 0.144 eV/atom; DFT formation energy = 0.2284 eV/atom; SG = C2/m
1.0
5.7483 -2.7289 0.0000
5.7483 2.7289 0.0000
-3.2571 0.0000 12.8056
Pm Y Er
4 7 1
Direct
0.0382 0.0382 0.2792
0.3238 0.3238 0.2366
0.6762 0.6762 0.7634
0.9618 0.9618 0.7208
0.1397 0.1397 0.9677
0.2697 0.2697 0.6033
0.4123 0.4123 0.8718
0.5000 0.5000 0.5000
0.5877 0.5877 0.1282
0.7303 0.7303 0.3967
0.8603 0.8603 0.0323
0.0000 0.0000 0.5000


4.
PBE Dy2UP3Rh12, optimized geometry; DFT formation energy = -0.4207 eV/atom; SG = R-3m
1.0
4.4177 2.5505 4.3633
-4.4177 2.5505 4.3633
0.0000 -5.1011 4.3633
Dy U P Rh
2 1 3 12
Direct
0.1218 0.1218 0.1218
0.8782 0.8782 0.8782
0.5000 0.5000 0.5000
0.0000 0.5000 0.5000
0.5000 0.0000 0.5000
0.5000 0.5000 0.0000
0.1357 0.1357 0.5861
0.1357 0.5861 0.1357
0.1678 0.6766 0.6766
0.3234 0.3234 0.8322
0.3234 0.8322 0.3234
0.4139 0.8643 0.8643
0.5861 0.1357 0.1357
0.6766 0.1678 0.6766
0.6766 0.6766 0.1678
0.8322 0.3234 0.3234
0.8643 0.4139 0.8643
0.8643 0.8643 0.4139


5.
PBE Re2TeSe, optimized geometry; energy above the lowest structure with this stoichiometry = 0.967 eV/atom; ΔE_f (raw) = 1.19 eV per atom; SG = F-43m
1.0
0.0000 3.2953 3.2953
3.2953 0.0000 3.2953
3.2953 3.2953 0.0000
Re Te Se
2 1 1
Direct
0.0000 0.0000 0.0000
0.2500 0.2500 0.2500
0.5000 0.5000 0.5000
0.7500 0.7500 0.7500


6.
PBE Ho2CdAu3, optimized geometry; energy above the lowest structure with this stoichiometry = 0.000 eV/atom; DFT formation energy = -0.7429 eV/atom; SG = P-3m1
1.0
4.9801 0.0000 0.0000
-2.4900 4.3129 0.0000
0.0000 0.0000 12.1872
Ho Cd Au
4 2 6
Direct
0.0000 0.0000 0.0000
0.0000 0.0000 0.5000
0.3333 0.6667 0.1829
0.6667 0.3333 0.8171
0.3333 0.6667 0.6689
0.6667 0.3333 0.3311
0.0000 0.0000 0.2458
0.0000 0.0000 0.7542
0.3333 0.6667 0.4255
0.3333 0.6667 0.9310
0.6667 0.3333 0.0690
0.6667 0.3333 0.5745


Number 1: total moment 0.033 μB per formula unit. Number 2: total moment 0.000 μB per formula unit. Number 3: total moment 0.000 μB per formula unit. Number 4: total moment 0.000 μB per formula unit. Number 5: total moment 0.000 μB per formula unit. Number 6: total moment 0.000 μB per formula unit.